This record from Alexandria via LeMat-Bulk describes an optimized crystal structure of ReAs3Ir. The functional is PBE.

M_tot: 0.00 μB/f.u.
formation enthalpy at 0 K: 1111 meV per atom
V: 106.46 Å³/f.u.
total DFT energy (no corrections): -5.941 eV per atom

abc: 4.739 4.739 4.739
angles: 90.00 90.00 90.00
Positions (direct):
Re (0.000, 0.000, 0.000)
As (0.000, 0.500, 0.000)
As (0.000, 0.000, 0.500)
As (0.500, 0.000, 0.000)
Ir (0.500, 0.500, 0.500)



This record from Alexandria via LeMat-Bulk describes an optimized crystal structure of Re2AsIr. The functional is PBE.

M_tot: 0.00 μB/f.u.
formation enthalpy at 0 K: 159 meV per atom
V: 59.97 Å³/f.u.
total DFT energy (no corrections): -9.443 eV per atom

abc: 4.055 2.823 5.425
angles: 74.96 90.00 90.00
Positions (direct):
Re (0.000, 0.929, 0.017)
Re (0.500, 0.309, 0.256)
As (0.000, 0.697, 0.482)
Ir (0.500, 0.564, 0.746)



This record from Alexandria via LeMat-Bulk describes an optimized crystal structure of Sc2ReAsIr. The functional is PBE.

M_tot: 0.00 μB/f.u.
formation enthalpy at 0 K: 545 meV per atom
V: 113.33 Å³/f.u.
total DFT energy (no corrections): -7.179 eV per atom

abc: 4.974 4.581 4.974
angles: 90.00 90.00 90.00
Positions (direct):
Sc (0.000, 0.000, 0.500)
Sc (0.500, 0.000, 0.000)
Re (0.000, 0.000, 0.000)
As (0.000, 0.500, 0.000)
Ir (0.500, 0.500, 0.500)



This record from Alexandria via LeMat-Bulk describes an optimized crystal structure of TaReAs2Ir. The functional is PBE.

M_tot: 1.32 μB/f.u.
formation enthalpy at 0 K: 1744 meV per atom
V: 111.81 Å³/f.u.
total DFT energy (no corrections): -6.748 eV per atom

abc: 4.805 4.805 4.843
angles: 90.00 90.00 90.00
Each line ends with the local moment (μB).
Positions (direct):
Re (0.000, 0.000, 0.500)  1.16
As (0.000, 0.500, 0.000)  0.00
As (0.500, 0.000, 0.000)  0.00
Ir (0.500, 0.500, 0.500)  0.02
Ta (0.000, 0.000, 0.000)  -0.07



- Among the records above, which one has the highest V?
  Sc2ReAsIr



- What is the formula in the first record?
  ReAs3Ir



Copy entry 1 word for word.
This record from Alexandria via LeMat-Bulk describes an optimized crystal structure of ReAs3Ir. The functional is PBE.

M_tot: 0.00 μB/f.u.
formation enthalpy at 0 K: 1111 meV per atom
V: 106.46 Å³/f.u.
total DFT energy (no corrections): -5.941 eV per atom

abc: 4.739 4.739 4.739
angles: 90.00 90.00 90.00
Positions (direct):
Re (0.000, 0.000, 0.000)
As (0.000, 0.500, 0.000)
As (0.000, 0.000, 0.500)
As (0.500, 0.000, 0.000)
Ir (0.500, 0.500, 0.500)